1 | Computed, not measured: a relaxed ErPt4 crystal at the PBE level of DFT.

- total magnetic moment (μB/f.u.) = 0.0

The structure in extended XYZ format:
```
5
Lattice="4.933 0.000 0.000 0.000 4.933 0.000 0.000 0.000 4.933" Properties=species:S:1:pos:R:3 pbc="T T T"
Pt 0.000 0.000 0.000
Pt 2.467 0.000 2.467
Pt 0.000 2.467 2.467
Pt 2.467 2.467 0.000
Er 2.467 2.467 2.467
```

2 | Computed, not measured: a relaxed ErPt4 crystal at the PBE level of DFT.

- total magnetic moment (μB/f.u.) = 0.0

The structure in extended XYZ format:
```
10
Lattice="4.103 0.000 -1.199 -0.643 5.285 -2.200 0.072 0.146 7.872" Properties=species:S:1:pos:R:3 pbc="T T T"
Er 3.631 0.873 4.806
Er -0.097 4.559 -0.334
Pt 0.219 1.909 0.750
Pt 3.314 3.522 3.723
Pt 2.052 0.000 -0.599
Pt 1.730 2.643 -1.699
Pt 2.743 1.154 1.767
Pt 0.790 4.278 2.705
Pt 1.094 1.777 3.746
Pt 2.439 3.654 0.726
```

Least stable = 1

1 | Computed, not measured: a relaxed Er3Pt2 crystal at the PBE level of DFT.

- total magnetic moment (μB/f.u.) = 0.0

The structure in extended XYZ format:
```
15
Lattice="-0.231 2.078 -4.345 -7.084 -2.268 1.968 -1.547 9.148 4.458" Properties=species:S:1:pos:R:3 pbc="T T T"
Er -4.905 0.227 -2.306
Er -3.957 8.732 4.387
Er -5.440 3.260 -0.827
Er -3.422 5.698 2.908
Er -2.914 2.641 1.418
Er -5.948 6.317 0.662
Er -7.704 1.829 1.285
Er -1.158 7.130 0.796
Er -0.116 1.039 -2.173
Pt -3.234 5.253 0.009
Pt -5.629 3.706 2.072
Pt -2.829 2.105 -1.518
Pt -6.033 6.853 3.599
Pt -7.516 1.384 -1.614
Pt -1.346 7.575 3.695
```

2 | Computed, not measured: a relaxed Er3Pt2 crystal at the PBE level of DFT.

- total magnetic moment (μB/f.u.) = 0.0

The structure in extended XYZ format:
```
20
Lattice="3.868 0.000 0.000 0.000 11.350 0.000 0.000 0.000 11.071" Properties=species:S:1:pos:R:3 pbc="T T T"
Er 0.967 7.154 6.103
Er 0.967 9.871 0.567
Er 2.901 4.196 4.968
Er 2.901 1.479 10.503
Er 2.901 0.694 6.871
Er 2.901 4.981 1.335
Er 0.967 10.656 4.200
Er 0.967 6.369 9.735
Er 0.967 3.497 7.945
Er 0.967 2.178 2.409
Er 2.901 7.853 3.126
Er 2.901 9.172 8.661
Pt 0.967 2.073 5.347
Pt 0.967 3.602 10.882
Pt 2.901 9.277 5.724
Pt 2.901 7.748 0.189
Pt 2.901 5.603 7.591
Pt 2.901 0.072 2.056
Pt 0.967 5.747 3.479
Pt 0.967 11.278 9.015
```

Least stable = 1